# AlAgIN2 | Alexandria via LeMat-Bulk | PBE | relaxed
data_AlAgIN2
_symmetry_space_group_name_H-M 'P 4/m m m'
_symmetry_Int_Tables_number 123
_symmetry_space_group_name_Hall '-P 4 2'
_cell_length_a 3.8344
_cell_length_b 3.8344
_cell_length_c 6.8666
_cell_angle_alpha 90.00
_cell_angle_beta 90.00
_cell_angle_gamma 90.00
loop_
_atom_site_label
_atom_site_fract_x
_atom_site_fract_y
_atom_site_fract_z
_atom_site_occupancy
Al1 0.0000 0.0000 0.0000 1
Ag1 0.5000 0.5000 0.5000 1
I1 0.0000 0.0000 0.5000 1
N1 0.0000 0.5000 0.0000 1
# **V**: 101.0 Å³/cell
# **Formation energy without anion corrections**: 0.787 eV/atom
# **DOS at the Fermi energy**: 2.60 states/eV per cell
# **Size of the total moment**: 0.95 μB per cell